(1)
{
  "formula": "CsRb9Na4",
  "functional": "PBE-GGA",
  "state": "relaxed",
  "dos_ef_per_ev_fu": 11.076,
  "magmom_total_mub_per_cell": 0.00,
  "e_tot_ev_per_atom": -1.006,
  "space_group": "I4/mcm (140)",
  "ef_ev_per_atom": 0.054,
  "lattice_angstrom": [[-7.553, 7.553, 9.801], [7.553, -7.553, 9.801], [7.553, 7.553, -9.801]],
  "species": ["Cs", "Cs", "Rb", "Rb", "Rb", "Rb", "Rb", "Rb", "Rb", "Rb", "Rb", "Rb", "Rb", "Rb", "Rb", "Rb", "Rb", "Rb", "Rb", "Rb", "Na", "Na", "Na", "Na", "Na", "Na", "Na", "Na"],
  "frac_coords": [[0.250, 0.250, 0.000], [0.750, 0.750, 0.000], [0.000, 0.500, 0.500], [0.057, 0.557, 0.216], [0.063, 0.803, 0.866], [0.159, 0.943, 0.500], [0.197, 0.063, 0.260], [0.303, 0.563, 0.866], [0.341, 0.841, 0.784], [0.437, 0.303, 0.740], [0.443, 0.659, 0.500], [0.500, 0.000, 0.500], [0.557, 0.341, 0.500], [0.563, 0.697, 0.260], [0.659, 0.159, 0.216], [0.697, 0.437, 0.134], [0.803, 0.937, 0.740], [0.841, 0.057, 0.500], [0.937, 0.197, 0.134], [0.943, 0.443, 0.784], [0.081, 0.231, 0.500], [0.231, 0.731, 0.150], [0.269, 0.419, 0.500], [0.419, 0.919, 0.150], [0.581, 0.081, 0.850], [0.731, 0.581, 0.500], [0.769, 0.269, 0.850], [0.919, 0.769, 0.500]]
}



(2)
{
  "formula": "CsRbNa5",
  "functional": "PBE-GGA",
  "state": "relaxed",
  "dos_ef_per_ev_fu": 3.656,
  "magmom_total_mub_per_cell": 0.00,
  "e_tot_ev_per_atom": -1.185,
  "space_group": "Pnma (62)",
  "ef_ev_per_atom": 0.017,
  "lattice_angstrom": [[12.518, 0.000, 0.000], [0.000, 7.478, 0.000], [0.000, 0.000, 15.957]],
  "species": ["Cs", "Cs", "Cs", "Cs", "Rb", "Rb", "Rb", "Rb", "Na", "Na", "Na", "Na", "Na", "Na", "Na", "Na", "Na", "Na", "Na", "Na", "Na", "Na", "Na", "Na", "Na", "Na", "Na", "Na"],
  "frac_coords": [[0.245, 0.250, 0.065], [0.255, 0.750, 0.565], [0.745, 0.250, 0.435], [0.755, 0.750, 0.935], [0.136, 0.750, 0.866], [0.364, 0.250, 0.366], [0.636, 0.750, 0.634], [0.864, 0.250, 0.134], [0.045, 0.750, 0.119], [0.064, 0.503, 0.318], [0.064, 0.997, 0.318], [0.073, 0.250, 0.517], [0.195, 0.250, 0.734], [0.305, 0.750, 0.234], [0.427, 0.750, 0.017], [0.436, 0.003, 0.818], [0.436, 0.497, 0.818], [0.455, 0.250, 0.619], [0.545, 0.750, 0.381], [0.564, 0.503, 0.182], [0.564, 0.997, 0.182], [0.573, 0.250, 0.983], [0.695, 0.250, 0.766], [0.805, 0.750, 0.266], [0.927, 0.750, 0.483], [0.936, 0.003, 0.682], [0.936, 0.497, 0.682], [0.955, 0.250, 0.881]]
}



(3)
{
  "formula": "CsRb8Na2",
  "functional": "PBE-GGA",
  "state": "relaxed",
  "dos_ef_per_ev_fu": 9.936,
  "magmom_total_mub_per_cell": 0.00,
  "e_tot_ev_per_atom": -0.981,
  "space_group": "C2/m (12)",
  "e_above_lowest_polymorph_mev_per_atom": 16.2,
  "ef_ev_per_atom": 0.040,
  "lattice_angstrom": [[6.367, -9.531, 0.000], [6.367, 9.531, 0.000], [-2.285, 0.000, 7.769]],
  "species": ["Cs", "Rb", "Rb", "Rb", "Rb", "Rb", "Rb", "Rb", "Rb", "Na", "Na"],
  "frac_coords": [[0.000, 0.000, 0.000], [0.073, 0.330, 0.594], [0.253, 0.747, 0.000], [0.330, 0.073, 0.594], [0.399, 0.399, 0.199], [0.601, 0.601, 0.801], [0.670, 0.927, 0.406], [0.747, 0.253, 0.000], [0.927, 0.670, 0.406], [0.313, 0.687, 0.500], [0.687, 0.313, 0.500]]
}



(4)
{
  "formula": "Cs12Rb2Na5",
  "functional": "PBE-GGA",
  "state": "relaxed",
  "dos_ef_per_ev_fu": 17.100,
  "magmom_total_mub_per_cell": 0.00,
  "e_tot_ev_per_atom": -0.969,
  "space_group": "C2/m (12)",
  "ef_ev_per_atom": 0.020,
  "lattice_angstrom": [[8.972, -7.806, 0.000], [8.972, 7.806, 0.000], [-3.083, 0.000, 12.334]],
  "species": ["Cs", "Cs", "Cs", "Cs", "Cs", "Cs", "Cs", "Cs", "Cs", "Cs", "Cs", "Cs", "Rb", "Rb", "Na", "Na", "Na", "Na", "Na"],
  "frac_coords": [[0.026, 0.348, 0.822], [0.093, 0.093, 0.174], [0.148, 0.630, 0.590], [0.348, 0.026, 0.822], [0.370, 0.852, 0.410], [0.381, 0.381, 0.287], [0.619, 0.619, 0.713], [0.630, 0.148, 0.590], [0.652, 0.974, 0.178], [0.852, 0.370, 0.410], [0.907, 0.907, 0.826], [0.974, 0.652, 0.178], [0.330, 0.670, 0.000], [0.670, 0.330, 0.000], [0.000, 0.000, 0.500], [0.216, 0.216, 0.527], [0.377, 0.377, 0.756], [0.623, 0.623, 0.244], [0.784, 0.784, 0.473]]
}



(5)
{
  "formula": "CsRb6Na",
  "functional": "PBE-GGA",
  "state": "relaxed",
  "dos_ef_per_ev_fu": 7.388,
  "magmom_total_mub_per_cell": 0.00,
  "e_tot_ev_per_atom": -0.961,
  "space_group": "P-1 (2)",
  "ef_ev_per_atom": 0.036,
  "lattice_angstrom": [[9.007, 0.000, 0.000], [-1.313, 8.918, 0.000], [-1.306, -1.537, 8.792]],
  "species": ["Cs", "Rb", "Rb", "Rb", "Rb", "Rb", "Rb", "Na"],
  "frac_coords": [[0.000, 0.000, 0.000], [0.088, 0.281, 0.560], [0.281, 0.559, 0.088], [0.442, 0.912, 0.719], [0.558, 0.088, 0.281], [0.719, 0.441, 0.912], [0.912, 0.719, 0.440], [0.500, 0.500, 0.500]]
}



(6)
{
  "formula": "Cs2Rb3Na2",
  "functional": "PBE-GGA",
  "state": "relaxed",
  "dos_ef_per_ev_fu": 5.371,
  "magmom_total_mub_per_cell": 0.00,
  "e_tot_ev_per_atom": -1.018,
  "space_group": "C2/m (12)",
  "ef_ev_per_atom": 0.017,
  "lattice_angstrom": [[8.167, -3.137, 0.000], [8.167, 3.137, 0.000], [-1.561, 0.000, 11.070]],
  "species": ["Cs", "Cs", "Rb", "Rb", "Rb", "Na", "Na"],
  "frac_coords": [[0.129, 0.129, 0.364], [0.871, 0.871, 0.636], [0.190, 0.190, 0.849], [0.500, 0.500, 0.000], [0.810, 0.810, 0.151], [0.424, 0.424, 0.367], [0.576, 0.576, 0.633]]
}